RbAcFeF6 PBE+U relaxed; raw total energy = -99.9 eV/cell
1.0
6.2284 0.0000 0.0000
-3.1142 5.3940 0.0000
0.0000 0.0000 10.9633
Rb Ac Fe F
2 2 2 12
Cartesian
0.0000 0.0000 0.0000
0.0000 0.0000 5.4817
0.0000 3.5960 2.7408
3.1142 1.7980 8.2225
0.0000 3.5960 8.2225
3.1142 1.7980 2.7408
-0.9916 2.1150 7.0795
-1.7784 3.4778 9.3655
0.9916 2.1150 9.3655
-0.7868 5.1952 7.0795
2.3274 0.1988 1.5978
1.3358 1.9162 3.8838
1.7784 3.4778 7.0795
0.7868 5.1952 9.3655
3.9010 0.1988 3.8838
2.1226 3.2790 1.5978
4.8926 1.9162 1.5978
4.1058 3.2790 3.8838